NaLiCdRh | GGA-PBE | relaxed

The structure belongs to space group F-43m (No. 216); the cell edges are 6.580, 6.580 and 6.580 Å and the angles 90.00°, 90.00° and 90.00°. The inequivalent atoms are Na at (0.000, 0.000, 0.000), Li at (0.250, 0.250, 0.750), Cd at (0.250, 0.250, 0.250) and Rh at (0.000, 0.000, 0.500).

As for the total moment: 0.00 μB/atom. The calculation puts the formation energy at -0.03 eV per atom.

***

NaLiCd2Rh | GGA-PBE | relaxed

The structure belongs to space group P4/mmm (No. 123); the cell edges are 5.203, 5.203 and 4.730 Å and the angles 90.00°, 90.00° and 90.00°. The inequivalent atoms are Na at (0.000, 0.000, 0.000), Li at (0.500, 0.500, 0.000), Cd at (0.000, 0.500, 0.500) and Rh at (0.500, 0.500, 0.500).

As for the total moment: 0.00 μB/atom. The calculation puts the formation energy at 0.01 eV per atom.